Record 1
The following is a PBE calculation of a relaxed Zr2InHgAs crystal, from Alexandria.

Cell: 5.3884 5.0292 5.3884 Å, 90.00 90.00 90.00°
Element x y z (fractional)
Hg1 0.0000 0.5000 0.0000
Zr1 0.0000 0.0000 0.5000
In1 0.0000 0.0000 0.0000
As1 0.5000 0.5000 0.5000
Zr2 0.5000 0.0000 0.0000

Calculated values
For the total DFT energy (no corrections), the calculation gives -0.293 Ry per atom.

=====

Record 2
The following is a PBE calculation of a relaxed Re2TcAs crystal, from Alexandria.

Cell: 3.9815 2.8400 5.4904 Å, 74.98 90.00 90.00°
Element x y z (fractional)
Re1 0.0000 0.8060 0.0145
Tc1 0.0000 0.5492 0.5271
Re2 0.5000 0.1911 0.2444
As1 0.5000 0.9537 0.7141

Calculated values
For the total DFT energy (no corrections), the calculation gives -0.721 Ry per atom.

=====

Number 1: E_form 0.974 eV/atom. Number 2: E_form 0.173 eV/atom.